(1)
Entry from Alexandria via LeMat-Bulk: a relaxed structure of NaCd2P2 (PBE).

Properties
Distance to the lowest polymorph of the same formula: 148 meV/atom
Electronic total energy: -2.704 eV per atom

Lattice parameters (Å, degrees): 7.923 7.923 3.331 90.00 90.00 90.00
Space group P4/mbm (No. 127)
Inequivalent atoms, fractional coordinates:
1 Na 0.000 0.000 0.000 (multiplicity 2)
2 Cd 0.137 0.363 0.500 (multiplicity 4)
3 P 0.165 0.665 0.000 (multiplicity 4)

(2)
Entry from Alexandria via LeMat-Bulk: a relaxed structure of TbDyY2Tm5 (PBE).

Properties
Electronic total energy: -4.790 eV per atom

Lattice parameters (Å, degrees): 5.557 19.562 10.544 90.00 90.00 90.00
Space group Cmc2_1 (No. 36)
Inequivalent atoms, fractional coordinates:
1 Tb 0.000 0.202 0.000 (multiplicity 4)
2 Dy 0.000 0.415 0.447 (multiplicity 4)
3 Y 0.000 0.109 0.726 (multiplicity 4)
4 Y 0.000 0.113 0.310 (multiplicity 4)
5 Tm 0.000 0.020 0.016 (multiplicity 4)
6 Tm 0.000 0.283 0.296 (multiplicity 4)
7 Tm 0.000 0.300 0.698 (multiplicity 4)
8 Tm 0.000 0.393 0.012 (multiplicity 4)
9 Tm 0.000 0.479 0.726 (multiplicity 4)

(3)
Entry from Alexandria via LeMat-Bulk: a relaxed structure of BePt3Rh (PBE).

Properties
Distance to the lowest polymorph of the same formula: 0 meV/atom
Electronic total energy: -5.650 eV per atom

Lattice parameters (Å, degrees): 4.200 4.200 4.200 90.00 90.00 90.00
Space group Pm-3m (No. 221)
Inequivalent atoms, fractional coordinates:
1 Be 0.000 0.000 0.000 (multiplicity 1)
2 Pt 0.000 0.000 0.500 (multiplicity 3)
3 Rh 0.500 0.500 0.500 (multiplicity 1)

(4)
Entry from Alexandria via LeMat-Bulk: a relaxed structure of Sm4Ag2Pb (PBE).

Properties
Electronic total energy: -4.243 eV per atom

Lattice parameters (Å, degrees): 5.2821 5.2821 25.0771 90.00 90.00 120.00
Space group R-3m (No. 166, hexagonal axes)
Inequivalent atoms, fractional coordinates:
1 Sm 0.0000 0.0000 0.1135 (multiplicity 6)
2 Sm 0.0000 0.0000 0.3681 (multiplicity 6)
3 Ag 0.0000 0.0000 0.2438 (multiplicity 6)
4 Pb 0.0000 0.0000 0.5000 (multiplicity 3)

(5)
Entry from Alexandria via LeMat-Bulk: a relaxed structure of Pm12NdAl3 (PBE).

Properties
Electronic total energy: -4.675 eV per atom

Lattice parameters (Å, degrees): 4.906 4.906 20.126 90.00 90.00 90.00
Space group P4/mmm (No. 123)
Inequivalent atoms, fractional coordinates:
1 Pm 0.000 0.000 0.000 (multiplicity 1)
2 Pm 0.000 0.000 0.241 (multiplicity 2)
3 Pm 0.000 0.000 0.500 (multiplicity 1)
4 Pm 0.000 0.500 0.121 (multiplicity 4)
5 Pm 0.000 0.500 0.363 (multiplicity 4)
6 Nd 0.500 0.500 0.500 (multiplicity 1)
7 Al 0.500 0.500 0.000 (multiplicity 1)
8 Al 0.500 0.500 0.242 (multiplicity 2)

(6)
Entry from Alexandria via LeMat-Bulk: a relaxed structure of DyPuHgRu (PBE).

Properties
Distance to the lowest polymorph of the same formula: 0 meV/atom
Electronic total energy: -7.422 eV per atom

Lattice parameters (Å, degrees): 3.355 3.355 8.073 90.00 90.00 90.00
Space group P4mm (No. 99)
Inequivalent atoms, fractional coordinates:
1 Dy 0.000 0.000 0.000 (multiplicity 1)
2 Pu 0.000 0.000 0.573 (multiplicity 1)
3 Hg 0.500 0.500 0.279 (multiplicity 1)
4 Ru 0.500 0.500 0.786 (multiplicity 1)

(7)
Entry from Alexandria via LeMat-Bulk: a relaxed structure of Tb5Nd2Ho3 (PBE).

Properties
Distance to the lowest polymorph of the same formula: 0 meV/atom
Electronic total energy: -4.448 eV per atom

Lattice parameters (Å, degrees): 10.670 15.987 9.411 90.00 124.24 90.00
Space group C2/c (No. 15)
Inequivalent atoms, fractional coordinates:
1 Tb 0.000 0.029 0.250 (multiplicity 4)
2 Tb 0.000 0.226 0.250 (multiplicity 4)
3 Tb 0.000 0.268 0.750 (multiplicity 4)
4 Tb 0.230 0.118 0.715 (multiplicity 8)
5 Nd 0.140 0.373 0.547 (multiplicity 8)
6 Ho 0.000 0.477 0.750 (multiplicity 4)
7 Ho 0.159 0.120 0.048 (multiplicity 8)

(8)
Entry from Alexandria via LeMat-Bulk: a relaxed structure of Al5Tl (PBE).

Properties
Distance to the lowest polymorph of the same formula: 27 meV/atom
Electronic total energy: -3.322 eV per atom

Lattice parameters (Å, degrees): 5.7666 5.7666 4.3372 90.00 90.00 120.00
Space group P6/mmm (No. 191)
Inequivalent atoms, fractional coordinates:
1 Al 0.0000 0.5000 0.0000 (multiplicity 3)
2 Al 0.3333 0.6667 0.5000 (multiplicity 2)
3 Tl 0.0000 0.0000 0.5000 (multiplicity 1)

(9)
Entry from Alexandria via LeMat-Bulk: a relaxed structure of TmZn4Ag (PBE).

Properties
Electronic total energy: -2.248 eV per atom

Lattice parameters (Å, degrees): 3.982 16.505 6.589 90.00 90.00 90.00
Space group Cmcm (No. 63)
Inequivalent atoms, fractional coordinates:
1 Tm 0.000 0.111 0.250 (multiplicity 4)
2 Zn 0.000 0.071 0.750 (multiplicity 4)
3 Zn 0.000 0.341 0.055 (multiplicity 8)
4 Zn 0.000 0.500 0.000 (multiplicity 4)
5 Ag 0.000 0.238 0.750 (multiplicity 4)

(10)
Entry from Alexandria via LeMat-Bulk: a relaxed structure of CaPrH2 (PBE).

Properties
Distance to the lowest polymorph of the same formula: 43 meV/atom
Electronic total energy: -3.635 eV per atom

Lattice parameters (Å, degrees): 3.6313 3.6313 18.4745 90.00 90.00 120.00
Space group R3m (No. 160, hexagonal axes)
Inequivalent atoms, fractional coordinates:
1 Ca 0.0000 0.0000 0.0000 (multiplicity 3)
2 Pr 0.0000 0.0000 0.8219 (multiplicity 3)
3 H 0.0000 0.0000 0.2353 (multiplicity 3)
4 H 0.0000 0.0000 0.4116 (multiplicity 3)

(11)
Entry from Alexandria via LeMat-Bulk: a relaxed structure of BaPtIO2 (PBE).

Properties
Distance to the lowest polymorph of the same formula: 664 meV/atom
Electronic total energy: -3.808 eV per atom

Lattice parameters (Å, degrees): 4.375 4.375 7.906 90.00 90.00 90.00
Space group P4/mmm (No. 123)
Inequivalent atoms, fractional coordinates:
1 Ba 0.000 0.000 0.000 (multiplicity 1)
2 Pt 0.500 0.500 0.500 (multiplicity 1)
3 I 0.000 0.000 0.500 (multiplicity 1)
4 O 0.000 0.500 0.000 (multiplicity 2)

(12)
Entry from Alexandria via LeMat-Bulk: a relaxed structure of Sc2In4Ga (PBE).

Properties
Electronic total energy: -4.049 eV per atom

Lattice parameters (Å, degrees): 8.636 8.659 6.187 90.00 134.08 90.00
Space group C2/m (No. 12)
Inequivalent atoms, fractional coordinates:
1 Sc 0.250 0.250 0.000 (multiplicity 4)
2 In 0.000 0.000 0.500 (multiplicity 2)
3 In 0.000 0.500 0.500 (multiplicity 2)
4 In 0.250 0.250 0.500 (multiplicity 4)
5 Ga 0.000 0.000 0.000 (multiplicity 2)

(13)
Entry from Alexandria via LeMat-Bulk: a relaxed structure of Ac2Pr5In4 (PBE).

Properties
Distance to the lowest polymorph of the same formula: 184 meV/atom
Electronic total energy: -4.002 eV per atom

Lattice parameters (Å, degrees): 24.182 3.743 8.677 90.00 106.56 90.00
Space group C2/m (No. 12)
Inequivalent atoms, fractional coordinates:
1 Ac 0.231 0.000 0.298 (multiplicity 4)
2 Pr 0.000 0.000 0.500 (multiplicity 2)
3 Pr 0.121 0.500 0.450 (multiplicity 4)
4 Pr 0.161 0.500 0.919 (multiplicity 4)
5 In 0.016 0.500 0.827 (multiplicity 4)
6 In 0.084 0.000 0.111 (multiplicity 4)

(14)
Entry from Alexandria via LeMat-Bulk: a relaxed structure of CaLaTa3 (PBE).

Properties
Distance to the lowest polymorph of the same formula: 0 meV/atom
Electronic total energy: -6.668 eV per atom

Lattice parameters (Å, degrees): 5.050 5.050 5.050 90.00 90.00 90.00
Space group Pm-3m (No. 221)
Inequivalent atoms, fractional coordinates:
1 Ca 0.000 0.000 0.000 (multiplicity 1)
2 La 0.500 0.500 0.500 (multiplicity 1)
3 Ta 0.000 0.500 0.500 (multiplicity 3)

(15)
Entry from Alexandria via LeMat-Bulk: a relaxed structure of NdYHg6 (PBE).

Properties
Distance to the lowest polymorph of the same formula: 0 meV/atom
Electronic total energy: -2.002 eV per atom

Lattice parameters (Å, degrees): 5.045 6.716 11.703 90.00 90.00 90.00
Space group Amm2 (No. 38)
Inequivalent atoms, fractional coordinates:
1 Nd 0.000 0.000 0.000 (multiplicity 2)
2 Y 0.500 0.000 0.338 (multiplicity 2)
3 Hg 0.000 0.000 0.504 (multiplicity 2)
4 Hg 0.000 0.248 0.252 (multiplicity 4)
5 Hg 0.500 0.000 0.830 (multiplicity 2)
6 Hg 0.500 0.246 0.588 (multiplicity 4)

(16)
Entry from Alexandria via LeMat-Bulk: a relaxed structure of BaNpAgI6 (PBE).

Properties
Electronic total energy: -3.976 eV per atom

Lattice parameters (Å, degrees): 7.9494 7.9494 15.1259 90.00 90.00 120.00
Space group P-31c (No. 163)
Inequivalent atoms, fractional coordinates:
1 Ba 0.0000 0.0000 0.0000 (multiplicity 2)
2 Np 0.3333 0.6667 0.2500 (multiplicity 2)
3 Ag 0.3333 0.6667 0.7500 (multiplicity 2)
4 I 0.0031 0.3611 0.6328 (multiplicity 12)

(17)
Entry from Alexandria via LeMat-Bulk: a relaxed structure of Dy4AsSe2 (PBE).

Properties
Electronic total energy: -5.648 eV per atom

Lattice parameters (Å, degrees): 15.139 4.005 6.803 90.00 116.19 90.00
Space group C2/m (No. 12)
Inequivalent atoms, fractional coordinates:
1 Dy 0.117 0.000 0.455 (multiplicity 4)
2 Dy 0.121 0.500 0.957 (multiplicity 4)
3 As 0.000 0.000 0.000 (multiplicity 2)
4 Se 0.244 0.500 0.737 (multiplicity 4)

(18)
Entry from Alexandria via LeMat-Bulk: a relaxed structure of Hg2OsBr (PBE).

Properties
Distance to the lowest polymorph of the same formula: 266 meV/atom
Electronic total energy: -2.531 eV per atom

Lattice parameters (Å, degrees): 3.392 5.566 9.154 90.00 90.00 90.00
Space group Cmmm (No. 65)
Inequivalent atoms, fractional coordinates:
1 Hg 0.000 0.000 0.236 (multiplicity 4)
2 Os 0.000 0.500 0.000 (multiplicity 2)
3 Br 0.000 0.500 0.500 (multiplicity 2)